1.
Entry from Alexandria: a relaxed structure of Ba3Ac4Ge4 (PBE).

Results
**Energy**: -4.1342 eV/atom
**SG**: Immm (71)
**Formation enthalpy at 0 K**: -437 meV per atom

a b c (Å): 10.4554 10.4554 10.4554
angles (deg): 154.40 123.91 62.62
Fractional positions:
Ba  0.0000  0.0000  0.0000
Ba  0.4003  0.9003  0.5000
Ba  0.5997  0.0997  0.5000
Ac  0.0259  0.3279  0.6980
Ac  0.3701  0.6721  0.6980
Ac  0.6299  0.3279  0.3020
Ac  0.9741  0.6721  0.3020
Ge  0.2440  0.2440  0.0000
Ge  0.2664  0.5000  0.7664
Ge  0.7336  0.5000  0.2336
Ge  0.7560  0.7560  0.0000



2.
Entry from Alexandria: a relaxed structure of Pm6Sm3Ho (PBE).

Results
**Energy**: -4.4851 eV/atom
**SG**: R-3 (148)
**Formation enthalpy at 0 K**: 239 meV per atom

a b c (Å): 7.0075 7.0075 7.0075
angles (deg): 90.97 90.97 90.97
Fractional positions:
Pm  0.0772  0.7470  0.4224
Pm  0.2530  0.5776  0.9228
Pm  0.4224  0.0772  0.7470
Pm  0.5776  0.9228  0.2530
Pm  0.7470  0.4224  0.0772
Pm  0.9228  0.2530  0.5776
Sm  0.0000  0.0000  0.0000
Sm  0.2497  0.2497  0.2497
Sm  0.7503  0.7503  0.7503
Ho  0.5000  0.5000  0.5000



3.
Entry from Alexandria: a relaxed structure of La3Pm2Dy4 (PBE).

Results
**Energy**: -4.7185 eV/atom
**SG**: P-1 (2)
**Formation enthalpy at 0 K**: 25 meV per atom

a b c (Å): 6.2841 6.2863 9.6284
angles (deg): 71.23 71.22 60.06
Fractional positions:
La  0.0000  0.0000  0.0000
La  0.1121  0.4430  0.6683
La  0.8879  0.5570  0.3317
Pm  0.4459  0.7772  0.6676
Pm  0.5541  0.2228  0.3324
Dy  0.2228  0.8903  0.3324
Dy  0.3358  0.3303  0.0000
Dy  0.6642  0.6697  0.0000
Dy  0.7772  0.1097  0.6676



4.
Entry from Alexandria: a relaxed structure of Li6Mg3Zn (PBE).

Results
**Energy**: -1.4814 eV/atom
**SG**: Fm-3m (225)
**Formation enthalpy at 0 K**: 273 meV per atom

a b c (Å): 6.9582 6.9582 6.9582
angles (deg): 60.00 60.00 60.00
Fractional positions:
Li  0.2409  0.2409  0.7591
Li  0.2409  0.7591  0.2409
Li  0.2409  0.7591  0.7591
Li  0.7591  0.2409  0.2409
Li  0.7591  0.2409  0.7591
Li  0.7591  0.7591  0.2409
Mg  0.2500  0.2500  0.2500
Mg  0.5000  0.5000  0.5000
Mg  0.7500  0.7500  0.7500
Zn  0.0000  0.0000  0.0000



5.
Entry from Alexandria: a relaxed structure of NaIrRu (PBE).

Results
**Energy**: -6.0726 eV/atom
**SG**: P-1 (2)
**Formation enthalpy at 0 K**: 413 meV per atom

a b c (Å): 2.7368 4.7576 8.6045
angles (deg): 93.79 98.98 106.71
Fractional positions:
Na  0.0575  0.2254  0.3986
Na  0.9425  0.7746  0.6014
Ir  0.4099  0.2415  0.0801
Ir  0.5901  0.7585  0.9199
Ru  0.1967  0.7134  0.1829
Ru  0.8033  0.2866  0.8171



6.
Entry from Alexandria: a relaxed structure of SrZr2Cd (PBE).

Results
**Energy**: -4.5532 eV/atom
**SG**: R-3m (166)
**Formation enthalpy at 0 K**: 370 meV per atom

a b c (Å): 11.4232 11.4232 11.4232
angles (deg): 16.57 16.57 16.57
Fractional positions:
Sr  0.0000  0.0000  0.0000
Zr  0.2421  0.2421  0.2421
Zr  0.7579  0.7579  0.7579
Cd  0.5000  0.5000  0.5000



> What is the energy in the fourth record?

-1.4814 eV/atom



What did the second record say?
Entry from Alexandria: a relaxed structure of Pm6Sm3Ho (PBE).

Results
**Energy**: -4.4851 eV/atom
**SG**: R-3 (148)
**Formation enthalpy at 0 K**: 239 meV per atom

a b c (Å): 7.0075 7.0075 7.0075
angles (deg): 90.97 90.97 90.97
Fractional positions:
Pm  0.0772  0.7470  0.4224
Pm  0.2530  0.5776  0.9228
Pm  0.4224  0.0772  0.7470
Pm  0.5776  0.9228  0.2530
Pm  0.7470  0.4224  0.0772
Pm  0.9228  0.2530  0.5776
Sm  0.0000  0.0000  0.0000
Sm  0.2497  0.2497  0.2497
Sm  0.7503  0.7503  0.7503
Ho  0.5000  0.5000  0.5000